# SrZrSb2P

A crystal of SrZrSb2P relaxed with PBEsol (SCAN, Alexandria via LeMat-Bulk).

The calculation puts the total energy at -26.4120 eV per atom.

```
data_SrZrSb2P
_cell_length_a 5.6117
_cell_length_b 5.6117
_cell_length_c 5.0549
_cell_angle_alpha 90.00
_cell_angle_beta 90.00
_cell_angle_gamma 90.00
_space_group_name_H-M_alt 'P 4/m m m'
_space_group_IT_number 123
_space_group_name_Hall '-P 4 2'
loop_
_atom_site_label
_atom_site_type_symbol
_atom_site_fract_x
_atom_site_fract_y
_atom_site_fract_z
_atom_site_occupancy
Sr1 Sr 0.0000 0.0000 0.0000 1
Zr1 Zr 0.5000 0.5000 0.5000 1
Sb1 Sb 0.0000 0.5000 0.0000 1
P1 P 0.0000 0.0000 0.5000 1
```